Entry 1:
# Sc4CrRe (PBE-GGA, relaxed)
data_Sc4CrRe
_chemical_formula_sum 'Sc16 Cr4 Re4'
_cell_length_a 7.816
_cell_length_b 7.816
_cell_length_c 7.816
_cell_angle_alpha 90.00
_cell_angle_beta 90.00
_cell_angle_gamma 90.00
_symmetry_space_group_name_H-M 'F -4 3 m'
_symmetry_Int_Tables_number 216
_symmetry_space_group_name_Hall 'F -4 2 3'
loop_
_atom_site_label
_atom_site_type_symbol
_atom_site_fract_x
_atom_site_fract_y
_atom_site_fract_z
_atom_site_occupancy
Sc1 Sc 0.123 0.123 0.377 1
Cr1 Cr 0.000 0.000 0.000 1
Re1 Re 0.250 0.250 0.750 1
# electronic total energy = -171.80 eV/cell
# formation energy from the elements = 4.449 eV per formula unit
# density = 5.815 Mg/m³



Entry 2:
# Ca2BePbO5 (PBE-GGA, relaxed)
data_Ca2BePbO5
_chemical_formula_sum 'Ca8 Be4 Pb4 O20'
_cell_length_a 3.251
_cell_length_b 13.538
_cell_length_c 10.475
_cell_angle_alpha 90.00
_cell_angle_beta 90.00
_cell_angle_gamma 90.00
_symmetry_space_group_name_H-M 'C m c 21'
_symmetry_Int_Tables_number 36
loop_
_symmetry_equiv_pos_as_xyz
'x,y,z'
'-x,-y,z+1/2'
'-x,y,z'
'x,-y,z+1/2'
'x+1/2,y+1/2,z'
'-x+1/2,-y+1/2,z+1/2'
'-x+1/2,y+1/2,z'
'x+1/2,-y+1/2,z+1/2'
loop_
_atom_site_label
_atom_site_type_symbol
_atom_site_fract_x
_atom_site_fract_y
_atom_site_fract_z
_atom_site_occupancy
Ca1 Ca 0.000 0.084 0.000 1
Ca2 Ca 0.000 0.125 0.681 1
Be1 Be 0.000 0.444 0.749 1
Pb1 Pb 0.000 0.198 0.379 1
O1 O 0.000 0.038 0.331 1
O2 O 0.000 0.290 0.024 1
O3 O 0.000 0.321 0.736 1
O4 O 0.000 0.355 0.351 1
O5 O 0.000 0.498 0.120 1
# electronic total energy = -222.82 eV/cell
# density = 5.422 Mg/m³
# energy relative to the elements, uncorrected = -19.48 eV/f.u.



Entry 3:
# Pm12FeSi6 (PBE-GGA, relaxed)
data_Pm12FeSi6
_chemical_formula_sum 'Pm36 Fe3 Si18'
_cell_length_a 12.8361
_cell_length_b 12.8361
_cell_length_c 11.9859
_cell_angle_alpha 90.00
_cell_angle_beta 90.00
_cell_angle_gamma 120.00
_symmetry_space_group_name_H-M 'R -3'
_symmetry_Int_Tables_number 148
_symmetry_space_group_name_Hall '-R 3'
loop_
_atom_site_label
_atom_site_type_symbol
_atom_site_fract_x
_atom_site_fract_y
_atom_site_fract_z
_atom_site_occupancy
Pm1 Pm 0.0338 0.2091 0.3944 1
Pm2 Pm 0.0515 0.2010 0.8858 1
Fe1 Fe 0.0000 0.0000 0.0000 1
Si1 Si 0.0498 0.2731 0.6489 1
# electronic total energy = -312.68 eV/cell
# density = 5.722 Mg/m³
# energy relative to the elements, uncorrected = -6.22 eV/f.u.



Entry 4:
# MnH2I (PBE-GGA, relaxed)
data_MnH2I
_chemical_formula_sum 'Mn4 H8 I4'
_cell_length_a 6.055
_cell_length_b 6.055
_cell_length_c 6.055
_cell_angle_alpha 90.00
_cell_angle_beta 90.00
_cell_angle_gamma 90.00
_symmetry_space_group_name_H-M 'F m -3 m'
_symmetry_Int_Tables_number 225
_symmetry_space_group_name_Hall '-F 4 2 3'
loop_
_atom_site_label
_atom_site_type_symbol
_atom_site_fract_x
_atom_site_fract_y
_atom_site_fract_z
_atom_site_occupancy
Mn1 Mn 0.000 0.000 0.000 1
H1 H 0.250 0.250 0.250 1
I1 I 0.000 0.000 0.500 1
# electronic total energy = -53.53 eV/cell
# density = 5.501 Mg/m³
# E above lowest polymorph = 634 meV/atom



Entry 5:
# La4NdSc (PBE-GGA, relaxed)
data_La4NdSc
_chemical_formula_sum 'La8 Nd2 Sc2'
_cell_length_a 5.185
_cell_length_b 15.367
_cell_length_c 5.164
_cell_angle_alpha 90.00
_cell_angle_beta 90.00
_cell_angle_gamma 90.00
_symmetry_space_group_name_H-M 'C m m m'
_symmetry_Int_Tables_number 65
_symmetry_space_group_name_Hall '-C 2 2'
loop_
_atom_site_label
_atom_site_type_symbol
_atom_site_fract_x
_atom_site_fract_y
_atom_site_fract_z
_atom_site_occupancy
La1 La 0.000 0.163 0.000 1
La2 La 0.000 0.335 0.500 1
Nd1 Nd 0.000 0.500 0.000 1
Sc1 Sc 0.000 0.000 0.500 1
# electronic total energy = -61.14 eV/cell
# formation energy from the elements = 0.241 eV per formula unit
# density = 6.011 Mg/m³
# E above lowest polymorph = 0 meV/atom



Entry 6:
# Cs2Ce4S3N2 (PBE-GGA, relaxed)
data_Cs2Ce4S3N2
_chemical_formula_sum 'Cs4 Ce8 S6 N4'
_cell_length_a 4.693
_cell_length_b 4.693
_cell_length_c 26.550
_cell_angle_alpha 90.00
_cell_angle_beta 90.00
_cell_angle_gamma 90.00
_symmetry_space_group_name_H-M 'I 4/m m m'
_symmetry_Int_Tables_number 139
_symmetry_space_group_name_Hall '-I 4 2'
loop_
_atom_site_label
_atom_site_type_symbol
_atom_site_fract_x
_atom_site_fract_y
_atom_site_fract_z
_atom_site_occupancy
Cs1 Cs 0.000 0.000 0.197 1
Ce1 Ce 0.000 0.500 0.071 1
S1 S 0.000 0.000 0.356 1
S2 S 0.000 0.000 0.500 1
N1 N 0.000 0.000 0.083 1
# electronic total energy = -137.67 eV/cell
# density = 5.398 Mg/m³
# energy relative to the elements, uncorrected = -14.36 eV/f.u.



Entry 7:
# LuMnPtRh (PBE-GGA, relaxed)
data_LuMnPtRh
_chemical_formula_sum 'Lu4 Mn4 Pt4 Rh4'
_cell_length_a 6.485
_cell_length_b 6.485
_cell_length_c 6.485
_cell_angle_alpha 90.00
_cell_angle_beta 90.00
_cell_angle_gamma 90.00
_symmetry_space_group_name_H-M 'F -4 3 m'
_symmetry_Int_Tables_number 216
_symmetry_space_group_name_Hall 'F -4 2 3'
loop_
_atom_site_label
_atom_site_type_symbol
_atom_site_fract_x
_atom_site_fract_y
_atom_site_fract_z
_atom_site_occupancy
Lu1 Lu 0.000 0.000 0.000 1
Mn1 Mn 0.000 0.000 0.500 1
Pt1 Pt 0.250 0.250 0.750 1
Rh1 Rh 0.250 0.250 0.250 1
# electronic total energy = -119.62 eV/cell
# formation energy from the elements = -2.821 eV per formula unit
# density = 12.858 Mg/m³



Entry 8:
# Na3Nd3GaTe8 (PBE-GGA, relaxed)
data_Na3Nd3GaTe8
_chemical_formula_sum 'Na6 Nd6 Ga2 Te16'
_cell_length_a 15.422
_cell_length_b 8.898
_cell_length_c 9.243
_cell_angle_alpha 90.00
_cell_angle_beta 123.87
_cell_angle_gamma 90.00
_symmetry_space_group_name_H-M 'C 1 2/m 1'
_symmetry_Int_Tables_number 12
loop_
_symmetry_equiv_pos_as_xyz
'x,y,z'
'-x,-y,-z'
'-x,y,-z'
'x,-y,z'
'x+1/2,y+1/2,z'
'-x+1/2,-y+1/2,-z'
'-x+1/2,y+1/2,-z'
'x+1/2,-y+1/2,z'
loop_
_atom_site_label
_atom_site_type_symbol
_atom_site_fract_x
_atom_site_fract_y
_atom_site_fract_z
_atom_site_occupancy
Na1 Na 0.000 0.000 0.000 1
Na2 Na 0.250 0.250 0.000 1
Nd1 Nd 0.000 0.500 0.500 1
Nd2 Nd 0.250 0.250 0.500 1
Ga1 Ga 0.000 0.000 0.500 1
Te1 Te 0.002 0.232 0.275 1
Te2 Te 0.228 0.000 0.723 1
Te3 Te 0.247 0.500 0.741 1
# electronic total energy = -122.61 eV/cell
# density = 5.021 Mg/m³
# energy relative to the elements, uncorrected = -14.88 eV/f.u.